The following is a GGA-PBE calculation of crystalline LiRe2Hg at its relaxed geometry, from the Alexandria database.

```
8
Lattice="8.7987 0.0000 0.0000 0.0000 2.7659 0.0000 -0.5172 0.0000 5.3003" Properties=species:S:1:pos:R:3 pbc="T T T"
Li 0.0000 0.0000 0.0000
Li 4.3994 1.3829 0.0000
Re -0.1646 1.3829 2.4576
Re 2.1414 1.3829 1.5210
Re 4.2348 0.0000 2.4576
Re 6.5408 0.0000 1.5210
Hg 1.7510 0.0000 4.2372
Hg 6.1503 1.3829 4.2372
```

Summary:
As for the theoretical density: 14.93 g cm⁻³. Its density of states at the Fermi level is 0.382 states/eV per atom. The calculation puts the total energy at -50.80 eV per cell.

---

The following is a GGA-PBE calculation of crystalline LiReHg2 at its relaxed geometry, from the Alexandria database.

```
12
Lattice="2.9307 0.0000 0.0000 -1.4653 2.5380 0.0000 0.0000 0.0000 28.6760" Properties=species:S:1:pos:R:3 pbc="T T T"
Li 0.0000 0.0000 0.0000
Li 0.0000 1.6920 19.1174
Li 1.4653 0.8460 9.5587
Re 0.0000 0.0000 14.3380
Re 0.0000 1.6920 4.7794
Re 1.4653 0.8460 23.8967
Hg 0.0000 0.0000 7.2374
Hg 0.0000 0.0000 21.4386
Hg 0.0000 1.6920 11.8799
Hg 0.0000 1.6920 26.3548
Hg 1.4653 0.8460 2.3213
Hg 1.4653 0.8460 16.7961
```

Summary:
As for the energy above the most stable polymorph in this dataset: 82.1 meV per atom. As for the theoretical density: 13.88 g cm⁻³. Its density of states at the Fermi level is 0.742 states/eV per atom. The calculation puts the total energy at -40.02 eV per cell.

---

The following is a GGA-PBE calculation of crystalline Li2ReHg at its relaxed geometry, from the Alexandria database.

```
8
Lattice="2.7088 0.0000 0.0000 0.0000 4.7098 0.0000 0.0000 0.0000 9.5933" Properties=species:S:1:pos:R:3 pbc="T T T"
Li 0.0000 0.0000 0.0000
Li 0.0000 2.3549 2.5411
Li 1.3544 0.0000 7.3377
Li 1.3544 2.3549 4.7966
Re 0.0000 2.3549 7.2720
Re 1.3544 0.0000 2.4754
Hg 0.0000 0.0000 5.0713
Hg 1.3544 2.3549 0.2747
```

Summary:
As for the theoretical density: 10.87 g cm⁻³. Its density of states at the Fermi level is 0.642 states/eV per atom. The calculation puts the total energy at -29.68 eV per cell.

---

The following is a GGA-PBE calculation of crystalline LiRe2Hg at its relaxed geometry, from the Alexandria database.

```
4
Lattice="2.7045 0.0000 0.0000 0.0000 4.8556 0.0000 -0.5978 0.0000 4.9230" Properties=species:S:1:pos:R:3 pbc="T T T"
Li 0.0000 0.0000 0.0000
Re 0.3541 2.4278 3.7678
Re 1.7526 2.4278 1.1552
Hg 1.0534 0.0000 2.4615
```

Summary:
As for the theoretical density: 14.90 g cm⁻³. Its density of states at the Fermi level is 0.732 states/eV per atom. The calculation puts the total energy at -25.06 eV per cell.

---

The following is a GGA-PBE calculation of crystalline Li2ReHg at its relaxed geometry, from the Alexandria database.

```
4
Lattice="4.7248 0.0000 0.0000 0.0000 4.7248 0.0000 0.0000 0.0000 2.6830" Properties=species:S:1:pos:R:3 pbc="T T T"
Li 0.0000 2.3624 0.0000
Li 2.3624 0.0000 0.0000
Re 0.0000 0.0000 1.3415
Hg 2.3624 2.3624 1.3415
```

Summary:
As for the theoretical density: 11.11 g cm⁻³. Its density of states at the Fermi level is 0.661 states/eV per atom. The calculation puts the total energy at -14.72 eV per cell.

---

The following is a GGA-PBE calculation of crystalline LiReHg2 at its relaxed geometry, from the Alexandria database.

```
16
Lattice="6.6305 0.0000 0.0000 0.0000 6.6305 0.0000 0.0000 0.0000 6.6305" Properties=species:S:1:pos:R:3 pbc="T T T"
Li 0.0000 0.0000 0.0000
Li 0.0000 3.3153 3.3153
Li 3.3153 0.0000 3.3153
Li 3.3153 3.3153 0.0000
Re 0.0000 0.0000 3.3153
Re 0.0000 3.3153 0.0000
Re 3.3153 0.0000 0.0000
Re 3.3153 3.3153 3.3153
Hg 1.6576 1.6576 1.6576
Hg 1.6576 1.6576 4.9729
Hg 1.6576 4.9729 1.6576
Hg 1.6576 4.9729 4.9729
Hg 4.9729 1.6576 1.6576
Hg 4.9729 1.6576 4.9729
Hg 4.9729 4.9729 1.6576
Hg 4.9729 4.9729 4.9729
```

Summary:
As for the energy above the most stable polymorph in this dataset: 265.7 meV per atom. As for the theoretical density: 13.54 g cm⁻³. Its density of states at the Fermi level is 0.591 states/eV per atom. The calculation puts the total energy at -50.42 eV per cell.

---

The following is a GGA-PBE calculation of crystalline LiReHg2 at its relaxed geometry, from the Alexandria database.

```
8
Lattice="2.9127 0.0000 0.0000 0.0000 5.1387 0.0000 0.0000 0.0000 9.4514" Properties=species:S:1:pos:R:3 pbc="T T T"
Li 0.0000 0.0000 0.0000
Li 1.4564 2.5694 4.7257
Re 0.0000 0.0000 4.7257
Re 1.4564 2.5694 0.0000
Hg 0.0000 2.5694 2.5265
Hg 0.0000 2.5694 6.9249
Hg 1.4564 0.0000 2.1992
Hg 1.4564 0.0000 7.2522
```

Summary:
As for the energy above the most stable polymorph in this dataset: 392.4 meV per atom. As for the theoretical density: 13.95 g cm⁻³. Its density of states at the Fermi level is 0.815 states/eV per atom. The calculation puts the total energy at -24.20 eV per cell.

---

The following is a GGA-PBE calculation of crystalline Li2ReHg at its relaxed geometry, from the Alexandria database.

```
8
Lattice="9.4752 0.0000 0.0000 0.0000 2.6828 0.0000 -0.7085 0.0000 5.0884" Properties=species:S:1:pos:R:3 pbc="T T T"
Li 2.2089 0.0000 1.1214
Li 1.8202 1.3414 3.9670
Li 6.5578 0.0000 3.9670
Li 6.9465 1.3414 1.1214
Re 0.0000 1.3414 0.0000
Re 4.7376 0.0000 0.0000
Hg -0.3542 0.0000 2.5442
Hg 4.3834 1.3414 2.5442
```

Summary:
As for the theoretical density: 10.29 g cm⁻³. Its density of states at the Fermi level is 0.545 states/eV per atom. The calculation puts the total energy at -30.40 eV per cell.

---

The following is a GGA-PBE calculation of crystalline LiRe2Hg at its relaxed geometry, from the Alexandria database.

```
4
Lattice="2.6513 0.0000 0.0000 0.0000 2.6513 0.0000 0.0000 0.0000 9.2954" Properties=species:S:1:pos:R:3 pbc="T T T"
Li 0.0000 0.0000 0.0000
Re 1.3257 1.3257 2.2061
Re 1.3257 1.3257 7.0893
Hg 0.0000 0.0000 4.6477
```

Summary:
As for the theoretical density: 14.74 g cm⁻³. Its density of states at the Fermi level is 0.872 states/eV per atom. The calculation puts the total energy at -23.63 eV per cell.

---

The following is a GGA-PBE calculation of crystalline Li2ReHg at its relaxed geometry, from the Alexandria database.

```
4
Lattice="2.7821 0.0000 0.0000 0.0000 4.7614 0.0000 0.0000 0.0000 4.9148" Properties=species:S:1:pos:R:3 pbc="T T T"
Li 0.0000 0.0000 0.0000
Li 1.3911 0.0000 2.4574
Re 0.0000 2.3807 2.4574
Hg 1.3911 2.3807 0.0000
```

Summary:
As for the theoretical density: 10.22 g cm⁻³. Its density of states at the Fermi level is 0.637 states/eV per atom. The calculation puts the total energy at -15.02 eV per cell.

---

The following is a GGA-PBE calculation of crystalline Li2ReHg at its relaxed geometry, from the Alexandria database.

```
8
Lattice="9.8858 0.0000 0.0000 0.0000 2.6482 0.0000 -0.7209 0.0000 5.0167" Properties=species:S:1:pos:R:3 pbc="T T T"
Li 0.0000 0.0000 0.0000
Li 1.8048 0.0000 3.9001
Li 4.9429 1.3241 0.0000
Li 6.7477 1.3241 3.9001
Re 4.4714 0.0000 2.5020
Re 9.4143 1.3241 2.5020
Hg 2.1521 1.3241 1.4608
Hg 7.0950 0.0000 1.4608
```

Summary:
As for the theoretical density: 10.13 g cm⁻³. Its density of states at the Fermi level is 0.651 states/eV per atom. The calculation puts the total energy at -29.99 eV per cell.

---

The following is a GGA-PBE calculation of crystalline LiReHg2 at its relaxed geometry, from the Alexandria database.

```
4
Lattice="2.8238 0.0000 0.0000 0.0000 4.1865 0.0000 0.0000 0.0000 6.0300" Properties=species:S:1:pos:R:3 pbc="T T T"
Li 0.0000 0.0000 0.0000
Re 0.0000 0.0000 3.0150
Hg 1.4119 2.0933 1.5097
Hg 1.4119 2.0933 4.5203
```

Summary:
As for the energy above the most stable polymorph in this dataset: 174.5 meV per atom. As for the theoretical density: 13.84 g cm⁻³. Its density of states at the Fermi level is 0.810 states/eV per atom. The calculation puts the total energy at -12.97 eV per cell.